Record 1
MnBe4Ru: optimized geometry, PBE-GGA.

POSCAR file:
```
MnBe4Ru
1.0
0.0000 3.0304 3.0304
3.0304 0.0000 3.0304
3.0304 3.0304 0.0000
Mn Be Ru
1 4 1
Cartesian
0.0000 0.0000 0.0000
3.7889 2.2719 2.2719
2.2719 3.7889 2.2719
2.2719 2.2719 3.7889
3.7889 3.7889 3.7889
1.5152 1.5152 1.5152
```

Its symmetry is F-43m, No. 216. The calculation puts the formation energy at -35.49 kJ per mole of atoms. For the total energy, the calculation gives -35.557 eV per cell. As for the total magnetization: 2.620 μB per formula unit.

***

Record 2
MnBeRu2: optimized geometry, PBE-GGA.

POSCAR file:
```
MnBeRu2
1.0
-1.4459 2.0171 4.1242
1.4459 -2.0171 4.1242
1.4459 2.0171 -4.1242
Mn Be Ru
1 1 2
Cartesian
0.0000 0.0000 0.0000
0.0000 2.0171 2.2217
1.4459 0.0000 2.1872
0.0000 0.0000 4.3963
```

Its symmetry is Imm2, No. 44. The calculation puts the formation energy at -6.54 kJ per mole of atoms. For the total energy, the calculation gives -31.718 eV per cell. As for the total magnetization: 2.186 μB per formula unit.

***

Record 3
Mn2BeRu: optimized geometry, PBE-GGA.

POSCAR file:
```
Mn2BeRu
1.0
1.2934 0.7468 7.8743
-1.2934 0.7468 7.8743
0.0000 -1.4935 7.8743
Mn Be Ru
2 1 1
Cartesian
0.0000 0.0000 0.0000
0.0000 0.0000 5.9523
0.0000 0.0000 11.9305
0.0000 0.0000 17.8648
```

Its symmetry is R3m, No. 160. The calculation puts the formation energy at 11.11 kJ per mole of atoms. For the total energy, the calculation gives -30.880 eV per cell. As for the total magnetization: 0.476 μB per formula unit.

***

Record 4
Mn2BeRu: optimized geometry, PBE-GGA.

POSCAR file:
```
Mn2BeRu
1.0
2.7726 0.0000 0.0000
0.0000 2.7726 0.0000
0.0000 0.0000 5.6077
Mn Be Ru
2 1 1
Cartesian
0.0000 0.0000 0.0000
1.3863 1.3863 1.2825
1.3863 1.3863 4.3485
0.0000 0.0000 2.9897
```

Its symmetry is P4mm, No. 99. The calculation puts the formation energy at -6.65 kJ per mole of atoms. For the total energy, the calculation gives -31.617 eV per cell. As for the total magnetization: 0.006 μB per formula unit.

***

Record 5
MnBeRu2: optimized geometry, PBE-GGA.

POSCAR file:
```
MnBeRu2
1.0
2.9763 0.0000 0.0000
0.0000 3.9367 0.0000
0.0000 0.0000 4.3285
Mn Be Ru
1 1 2
Cartesian
0.0000 0.0000 0.0000
1.4881 0.0000 2.1643
0.0000 1.9683 2.1643
1.4881 1.9683 0.0000
```

Its symmetry is Pmmm, No. 47. The calculation puts the formation energy at 14.27 kJ per mole of atoms. For the total energy, the calculation gives -30.856 eV per cell. As for the total magnetization: 2.986 μB per formula unit.

***

Record 6
Mn2BeRu: optimized geometry, PBE-GGA.

POSCAR file:
```
Mn2BeRu
1.0
2.5879 0.0000 0.0000
0.0000 3.6716 0.0000
0.0000 0.0000 4.6732
Mn Be Ru
2 1 1
Cartesian
0.0000 0.0000 1.0157
0.0000 0.0000 3.6575
1.2940 1.8358 0.0000
1.2940 1.8358 2.3366
```

Its symmetry is Pmmm, No. 47. The calculation puts the formation energy at -1.90 kJ per mole of atoms. For the total energy, the calculation gives -31.420 eV per cell. As for the total magnetization: 0.007 μB per formula unit.

***

Record 7
MnBeRu2: optimized geometry, PBE-GGA.

POSCAR file:
```
MnBeRu2
1.0
1.4587 -2.2221 0.0000
1.4587 2.2221 0.0000
0.0000 0.0000 7.7761
Mn Be Ru
1 1 2
Cartesian
0.0000 0.0000 0.0000
0.0000 0.0000 3.8881
1.4587 0.0000 2.0879
1.4587 0.0000 5.6882
```

Its symmetry is Cmmm, No. 65. The calculation puts the formation energy at 12.16 kJ per mole of atoms. For the total energy, the calculation gives -30.943 eV per cell. As for the total magnetization: 3.438 μB per formula unit.

***

Record 8
Mn2BeRu: optimized geometry, PBE-GGA.

POSCAR file:
```
Mn2BeRu
1.0
1.8848 -8.1659 0.0000
1.8848 8.1659 0.0000
0.0000 0.0000 2.8801
Mn Be Ru
4 2 2
Cartesian
1.8848 7.2292 2.1601
1.8848 1.0616 2.1601
1.8848 -1.0616 0.7200
1.8848 -7.2292 0.7200
1.8848 5.4104 0.7200
1.8848 -5.4104 2.1601
1.8848 3.1043 0.7200
1.8848 -3.1043 2.1601
```

Its symmetry is Cmcm, No. 63. The calculation puts the formation energy at -5.72 kJ per mole of atoms. For the total energy, the calculation gives -63.156 eV per cell. As for the total magnetization: 1.571 μB per formula unit.

***

Record 9
Mn2BeRu: optimized geometry, PBE-GGA.

POSCAR file:
```
Mn2BeRu
1.0
0.0000 2.8439 2.8439
2.8439 0.0000 2.8439
2.8439 2.8439 0.0000
Mn Be Ru
2 1 1
Cartesian
0.0000 0.0000 0.0000
1.4220 1.4220 1.4220
2.8439 2.8439 2.8439
4.2659 4.2659 4.2659
```

Its symmetry is F-43m, No. 216. The calculation puts the formation energy at 0.30 kJ per mole of atoms. For the total energy, the calculation gives -31.329 eV per cell. As for the total magnetization: 3.863 μB per formula unit.

***

Record 10
MnBeRu: optimized geometry, PBE-GGA.

POSCAR file:
```
MnBeRu
1.0
0.0000 2.6844 2.6844
2.6844 0.0000 2.6844
2.6844 2.6844 0.0000
Mn Be Ru
1 1 1
Cartesian
0.0000 0.0000 0.0000
4.0266 4.0266 4.0266
2.6844 2.6844 2.6844
```

As for the polymorph energy (0 for the lowest one): 0.406 eV/atom. Its symmetry is F-43m, No. 216. The calculation puts the formation energy at 21.80 kJ per mole of atoms. For the total energy, the calculation gives -21.494 eV per cell. As for the total magnetization: 3.916 μB per formula unit.

***

Record 11
Mn2BeRu: optimized geometry, PBE-GGA.

POSCAR file:
```
Mn2BeRu
1.0
4.1623 0.0000 0.0000
0.0000 4.1623 0.0000
0.0000 0.0000 2.8637
Mn Be Ru
2 1 1
Cartesian
0.0000 2.0812 0.0000
2.0812 0.0000 0.0000
0.0000 0.0000 1.4319
2.0812 2.0812 1.4319
```

Its symmetry is P4/mmm, No. 123. The calculation puts the formation energy at 10.00 kJ per mole of atoms. For the total energy, the calculation gives -30.927 eV per cell. As for the total magnetization: 6.070 μB per formula unit.

***

Record 12
MnBeRu2: optimized geometry, PBE-GGA.

POSCAR file:
```
MnBeRu2
1.0
2.6671 0.0000 0.0000
0.0000 3.6303 0.0000
-1.0325 0.0000 5.0699
Mn Be Ru
1 1 2
Cartesian
0.0000 0.0000 0.0000
-0.5163 0.0000 2.5349
0.2762 1.8151 3.7200
1.3584 1.8151 1.3499
```

Its symmetry is P2/m, No. 10. The calculation puts the formation energy at 3.45 kJ per mole of atoms. For the total energy, the calculation gives -31.304 eV per cell. As for the total magnetization: 1.924 μB per formula unit.